(1)
The following is a PBE calculation of an optimized crystal structure of SrOs2PdF, from the Alexandria database.

abc: 5.709 5.709 5.252
angles: 90.00 90.00 90.00
Sites, in units of the cell vectors:
Sr1 0.000 0.000 0.000
Os1 0.000 0.500 0.000
Os2 0.500 0.000 0.000
Pd1 0.000 0.000 0.500
F1 0.500 0.500 0.500

Values from the calculation:
* E_form (uncorrected): 2.679 eV per atom
* Fermi-level density of states: 7.157 states/eV/f.u.
* space group: P4/mmm (123)
* energy: -17.81 eV/f.u.

=====

(2)
The following is a PBE calculation of an optimized crystal structure of TiOs2PdF, from the Alexandria database.

abc: 4.613 4.613 4.744
angles: 90.00 90.00 90.00
Sites, in units of the cell vectors:
Ti1 0.000 0.000 0.000
Os1 0.000 0.500 0.000
Os2 0.500 0.000 0.000
Pd1 0.000 0.000 0.500
F1 0.500 0.500 0.500

Values from the calculation:
* E_form (uncorrected): 1.553 eV per atom
* Fermi-level density of states: 3.384 states/eV/f.u.
* space group: P4/mmm (123)
* energy: -29.66 eV/f.u.

=====

(3)
The following is a PBE calculation of an optimized crystal structure of ZrOs2PdF, from the Alexandria database.

abc: 4.918 4.918 5.016
angles: 90.00 90.00 90.00
Sites, in units of the cell vectors:
Zr1 0.000 0.000 0.000
Os1 0.000 0.500 0.000
Os2 0.500 0.000 0.000
Pd1 0.000 0.000 0.500
F1 0.500 0.500 0.500

Values from the calculation:
* E_form (uncorrected): 1.895 eV per atom
* Fermi-level density of states: 2.953 states/eV/f.u.
* space group: P4/mmm (123)
* energy: -28.60 eV/f.u.

=====

(4)
The following is a PBE calculation of an optimized crystal structure of Pm2OsF, from the Alexandria database.

abc: 7.007 7.007 7.007
angles: 33.09 33.09 33.09
Sites, in units of the cell vectors:
Pm1 0.248 0.248 0.248
Pm2 0.752 0.752 0.752
Os1 0.500 0.500 0.500
F1 0.000 0.000 0.000

Values from the calculation:
* E_form (uncorrected): -1.093 eV per atom
* energy above the most stable polymorph in this dataset: 31.3 meV/atom
* Fermi-level density of states: 2.629 states/eV/f.u.
* space group: R-3m (166)
* energy: -26.97 eV/f.u.

=====

(5)
The following is a PBE calculation of an optimized crystal structure of Pm2OsF, from the Alexandria database.

abc: 3.326 3.326 7.512
angles: 90.00 90.00 90.00
Sites, in units of the cell vectors:
Pm1 0.000 0.000 0.237
Pm2 0.000 0.000 0.763
Os1 0.500 0.500 0.000
F1 0.500 0.500 0.500

Values from the calculation:
* E_form (uncorrected): -1.124 eV per atom
* energy above the most stable polymorph in this dataset: 0.0 meV/atom
* Fermi-level density of states: 2.073 states/eV/f.u.
* space group: P4/mmm (123)
* energy: -27.10 eV/f.u.

=====

(6)
The following is a PBE calculation of an optimized crystal structure of PmSiOsF, from the Alexandria database.

abc: 4.185 4.185 7.862
angles: 90.00 90.00 90.00
Sites, in units of the cell vectors:
Pm1 0.250 0.250 0.186
Pm2 0.750 0.750 0.814
Si1 0.250 0.250 0.647
Si2 0.750 0.750 0.353
Os1 0.250 0.750 0.500
Os2 0.750 0.250 0.500
F1 0.250 0.750 0.000
F2 0.750 0.250 0.000

Values from the calculation:
* E_form (uncorrected): -1.719 eV per atom
* Fermi-level density of states: 2.222 states/eV/f.u.
* space group: P4/nmm (129)
* energy: -30.15 eV/f.u.

=====

(7)
The following is a PBE calculation of an optimized crystal structure of PrSiOsF, from the Alexandria database.

abc: 4.203 4.203 8.047
angles: 90.00 90.00 90.00
Sites, in units of the cell vectors:
Pr1 0.250 0.250 0.187
Pr2 0.750 0.750 0.813
Si1 0.250 0.250 0.642
Si2 0.750 0.750 0.358
Os1 0.250 0.750 0.500
Os2 0.750 0.250 0.500
F1 0.250 0.750 0.000
F2 0.750 0.250 0.000

Values from the calculation:
* E_form (uncorrected): -1.715 eV per atom
* Fermi-level density of states: 2.233 states/eV/f.u.
* space group: P4/nmm (129)
* energy: -30.16 eV/f.u.

=====

(8)
The following is a PBE calculation of an optimized crystal structure of OsPt2F, from the Alexandria database.

abc: 4.331 4.331 4.331
angles: 60.00 60.00 60.00
Sites, in units of the cell vectors:
Os1 0.000 0.000 0.000
Pt1 0.250 0.250 0.250
Pt2 0.750 0.750 0.750
F1 0.500 0.500 0.500

Values from the calculation:
* E_form (uncorrected): 0.299 eV per atom
* energy above the most stable polymorph in this dataset: 0.0 meV/atom
* Fermi-level density of states: 5.007 states/eV/f.u.
* space group: Fm-3m (225)
* energy: -23.99 eV/f.u.

=====

(9)
The following is a PBE calculation of an optimized crystal structure of OsPtF2, from the Alexandria database.

abc: 8.542 8.542 8.542
angles: 18.16 18.16 18.16
Sites, in units of the cell vectors:
Os1 0.000 0.000 0.000
Pt1 0.500 0.500 0.500
F1 0.420 0.420 0.420
F2 0.580 0.580 0.580

Values from the calculation:
* E_form (uncorrected): -0.102 eV per atom
* energy above the most stable polymorph in this dataset: 0.0 meV/atom
* Fermi-level density of states: 3.610 states/eV/f.u.
* space group: R-3m (166)
* energy: -21.42 eV/f.u.

=====

(10)
The following is a PBE calculation of an optimized crystal structure of OsPtF2, from the Alexandria database.

abc: 4.216 4.216 4.216
angles: 60.00 60.00 60.00
Sites, in units of the cell vectors:
Os1 0.000 0.000 0.000
Pt1 0.500 0.500 0.500
F1 0.250 0.250 0.250
F2 0.750 0.750 0.750

Values from the calculation:
* E_form (uncorrected): 0.681 eV per atom
* energy above the most stable polymorph in this dataset: 783.6 meV/atom
* Fermi-level density of states: 2.985 states/eV/f.u.
* space group: Fm-3m (225)
* energy: -18.29 eV/f.u.

=====

(11)
The following is a PBE calculation of an optimized crystal structure of OsPtF2, from the Alexandria database.

abc: 5.687 5.687 5.687
angles: 100.52 100.52 129.42
Sites, in units of the cell vectors:
Os1 0.000 0.000 0.000
Os2 0.750 0.250 0.500
Pt1 0.250 0.750 0.500
Pt2 0.500 0.500 0.000
F1 0.003 0.625 0.878
F2 0.375 0.253 0.378
F3 0.747 0.125 0.122
F4 0.875 0.997 0.622

Values from the calculation:
* E_form (uncorrected): 0.288 eV per atom
* energy above the most stable polymorph in this dataset: 390.8 meV/atom
* Fermi-level density of states: 3.817 states/eV/f.u.
* space group: I-42d (122)
* energy: -19.86 eV/f.u.

=====

(12)
The following is a PBE calculation of an optimized crystal structure of OsPt2F, from the Alexandria database.

abc: 5.465 5.465 5.465
angles: 105.05 105.05 118.74
Sites, in units of the cell vectors:
Os1 0.000 0.000 0.000
Os2 0.750 0.250 0.500
Pt1 0.135 0.625 0.010
Pt2 0.375 0.385 0.510
Pt3 0.615 0.125 0.990
Pt4 0.875 0.865 0.490
F1 0.250 0.750 0.500
F2 0.500 0.500 0.000

Values from the calculation:
* E_form (uncorrected): 0.492 eV per atom
* energy above the most stable polymorph in this dataset: 193.7 meV/atom
* Fermi-level density of states: 5.855 states/eV/f.u.
* space group: I-42d (122)
* energy: -23.21 eV/f.u.